! PBE LiRe2Ag, relaxed; values from VASP
&SYSTEM
  ibrav = 0, nat = 4, ntyp = 3
/
ATOMIC_SPECIES
Re 186.21 Re.upf
Li 6.94 Li.upf
Ag 107.87 Ag.upf
ATOMIC_POSITIONS angstrom
Re 0.000 0.000 2.611
Re 0.000 0.000 5.013
Li 1.311 2.288 3.812
Ag 1.311 2.288 1.271
CELL_PARAMETERS angstrom
2.622 0.000 0.000
0.000 4.575 0.000
0.000 0.000 5.082
! size of the total moment	0.000	μB per atom
! E_form	0.52	eV per atom


! PBE LiReAg, relaxed; values from VASP
&SYSTEM
  ibrav = 0, nat = 3, ntyp = 3
/
ATOMIC_SPECIES
Li 6.94 Li.upf
Re 186.21 Re.upf
Ag 107.87 Ag.upf
ATOMIC_POSITIONS angstrom
Li 0.000 0.000 0.000
Re 4.265 2.462 1.741
Ag 6.398 3.694 2.612
CELL_PARAMETERS angstrom
4.265 0.000 0.000
2.133 3.694 0.000
2.133 1.231 3.482
! size of the total moment	0.439	μB per atom
! E_form	1.42	eV per atom


! PBE LiRe2Ag, relaxed; values from VASP
&SYSTEM
  ibrav = 0, nat = 4, ntyp = 3
/
ATOMIC_SPECIES
Re 186.21 Re.upf
Li 6.94 Li.upf
Ag 107.87 Ag.upf
ATOMIC_POSITIONS angstrom
Re -5.351 -5.659 4.805
Re -2.729 -2.886 2.450
Li -5.351 -4.107 2.364
Ag -2.657 -1.258 -0.055
CELL_PARAMETERS angstrom
-2.005 1.593 -0.357
-0.616 -1.261 -2.172
-5.387 -5.697 4.837
! size of the total moment	0.000	μB per atom
! E_form	0.63	eV per atom


! PBE LiRe2Ag, relaxed; values from VASP
&SYSTEM
  ibrav = 0, nat = 4, ntyp = 3
/
ATOMIC_SPECIES
Re 186.21 Re.upf
Li 6.94 Li.upf
Ag 107.87 Ag.upf
ATOMIC_POSITIONS angstrom
Re 0.094 0.071 0.096
Re 0.275 -1.094 2.441
Li 2.130 0.314 4.337
Ag 1.868 1.419 1.910
CELL_PARAMETERS angstrom
-2.016 0.178 1.839
1.087 -3.491 1.530
3.530 2.681 3.609
! size of the total moment	0.000	μB per atom
! E_form	0.33	eV per atom


! PBE LiReAg, relaxed; values from VASP
&SYSTEM
  ibrav = 0, nat = 3, ntyp = 3
/
ATOMIC_SPECIES
Re 186.21 Re.upf
Ag 107.87 Ag.upf
Li 6.94 Li.upf
ATOMIC_POSITIONS angstrom
Re 5.177 0.265 1.622
Ag 0.713 -0.812 2.434
Li 9.872 1.398 0.769
CELL_PARAMETERS angstrom
7.559 -0.036 0.027
6.914 2.544 -0.095
0.645 -0.828 2.446
! size of the total moment	0.000	μB per atom
! E_form	0.35	eV per atom


! PBE LiRe2Ag, relaxed; values from VASP
&SYSTEM
  ibrav = 0, nat = 4, ntyp = 3
/
ATOMIC_SPECIES
Ag 107.87 Ag.upf
Li 6.94 Li.upf
Re 186.21 Re.upf
ATOMIC_POSITIONS angstrom
Ag 1.253 -4.315 -2.884
Li 0.000 0.000 0.000
Re 1.880 -6.472 -4.325
Re 0.627 -2.157 -1.442
CELL_PARAMETERS angstrom
2.933 -3.175 -0.564
-1.303 -3.984 -1.194
0.877 -1.470 -4.009
! size of the total moment	0.000	μB per atom
! E_form	1.14	eV per atom